Below is an optimized crystal structure of Mg6CuSb, with properties calculated at the PBE level.

The uncorrected formation energy is -0.04 eV per atom. The relative energy among the computed polymorphs comes out at 0 meV/atom. The value obtained for the total magnetization is 0.00 μB per atom. As for the space-group type: Amm2, No. 38.

Unit cell a=6.457 b=6.457 c=4.932 alpha=90.00 beta=90.00 gamma=122.90
Atoms (fractional coordinates):
Mg1 0.170 0.326 0.000
Mg2 0.674 0.830 0.000
Mg3 0.671 0.329 0.000
Mg4 0.334 0.141 0.500
Mg5 0.859 0.666 0.500
Mg6 0.837 0.163 0.500
Cu1 0.116 0.884 0.000
Sb1 0.340 0.660 0.500